Record 1
PBE Th6SiP5, relaxed; uncorrected energy = -7.813 eV per atom; E_form (uncorrected) = -1397 meV per atom; D(E_F) = 0.61 states/eV/atom
1.0
3.605 -6.247 0.000
3.605 6.247 0.000
-2.404 0.000 6.805
Th Si P
6 1 5
direct
0.081 0.416 0.749
0.248 0.248 0.251
0.416 0.081 0.749
0.584 0.919 0.251
0.752 0.752 0.749
0.919 0.584 0.251
0.500 0.500 0.000
0.000 0.000 0.500
0.167 0.833 0.000
0.334 0.666 0.500
0.666 0.334 0.500
0.833 0.167 0.000

***

Record 2
PBE Th4Si3P, relaxed; uncorrected energy = -7.281 eV per atom; E_form (uncorrected) = -862 meV per atom; D(E_F) = 0.64 states/eV/atom
1.0
5.990 0.000 0.000
0.000 5.990 0.000
0.000 0.000 5.990
Th Si P
4 3 1
direct
0.000 0.000 0.000
0.000 0.500 0.500
0.500 0.000 0.500
0.500 0.500 0.000
0.000 0.000 0.500
0.000 0.500 0.000
0.500 0.000 0.000
0.500 0.500 0.500

***

Record 3
PBE Th2SiP, relaxed; uncorrected energy = -7.505 eV per atom; E_form (uncorrected) = -1087 meV per atom; D(E_F) = 0.63 states/eV/atom; energy relative to the lowest polymorph listed for this composition = 0.0 meV/atom
1.0
4.205 -8.425 0.000
4.205 8.425 0.000
-4.197 0.000 5.956
Th Si P
8 4 4
direct
0.061 0.436 0.252
0.186 0.311 0.748
0.311 0.186 0.248
0.436 0.061 0.752
0.564 0.939 0.248
0.689 0.814 0.752
0.814 0.689 0.252
0.939 0.564 0.748
0.188 0.812 0.250
0.437 0.563 0.250
0.563 0.437 0.750
0.812 0.188 0.750
0.062 0.938 0.750
0.313 0.687 0.750
0.687 0.313 0.250
0.938 0.062 0.250

***

Record 4
PBE ThSiP, relaxed; uncorrected energy = -6.650 eV per atom; E_form (uncorrected) = -565 meV per atom; D(E_F) = 0.57 states/eV/atom
1.0
1.770 -6.786 0.000
1.770 6.786 0.000
0.000 0.000 5.334
Th Si P
2 2 2
direct
0.116 0.884 0.750
0.884 0.116 0.250
0.412 0.588 0.750
0.588 0.412 0.250
0.202 0.798 0.250
0.798 0.202 0.750

***

| no. | spin magnetization (μB/f.u.) |
| --- | --- |
| 1 | 0.000 |
| 2 | 0.000 |
| 3 | 0.000 |
| 4 | 0.000 |